Material: CaAgHg
Method: DFT, meta-GGA SCAN
State: single point on PBEsol structure

Computed properties:
D(E_F) in states/eV/atom: 0.46
Energy of formation from the pure elements in kJ per mole of atoms: -41.8
SG: No. 107
Spin magnetization in μB per cell: 0.0

Structure (POSCAR):
```
CaAgHg
1.0
-3.511 -1.264 -0.276
1.043 -2.290 -2.769
2.201 -1.598 4.679
Ca Hg Ag
1 1 1
Direct
0.333 0.333 0.666
0.661 0.661 0.321
0.007 0.007 0.013
```